Mg2TaTc: optimized geometry, GGA-PBE.

Values from the calculation:
* magnetic moment: 0.4 μB per formula unit
* total DFT energy (no corrections): -22.0 eV per formula unit

Unit cell a=5.9214 b=5.9214 c=5.9214 alpha=101.54 beta=101.54 gamma=126.85
Positions (direct):
Mg1 0.1024 0.6250 0.9774
Mg2 0.3750 0.3524 0.4774
Mg3 0.6476 0.1250 0.0226
Mg4 0.8750 0.8976 0.5226
Ta1 0.2500 0.7500 0.5000
Ta2 0.5000 0.5000 0.0000
Tc1 0.0000 0.0000 0.0000
Tc2 0.7500 0.2500 0.5000